Record 1
A plane-wave DFT calculation with PBE was carried out for a geometry-optimized K2Ag3Br6 structure.

Values from the calculation:
- ρ: 4.3 g/cm3
- Raw formation energy: -0.775 eV/atom

Geometry as CIF:
```
data_K2Ag3Br6
_chemical_formula_sum 'K2 Ag3 Br6'
_symmetry_space_group_name_H-M 'P -6 2 m'
_symmetry_Int_Tables_number 189
_symmetry_space_group_name_Hall 'P -6 -2'
_cell_length_a 8.5233
_cell_length_b 8.5233
_cell_length_c 5.3643
_cell_angle_alpha 90.00
_cell_angle_beta 90.00
_cell_angle_gamma 120.00
loop_
_atom_site_label
_atom_site_type_symbol
_atom_site_fract_x
_atom_site_fract_y
_atom_site_fract_z
K1 K 0.3333 0.6667 0.0000
Ag1 Ag 0.0000 0.2215 0.5000
Br1 Br 0.0000 0.2624 0.0000
Br2 Br 0.0000 0.6289 0.5000
```

***

Record 2
A plane-wave DFT calculation with PBE was carried out for a geometry-optimized MgSc2Pt structure.

Values from the calculation:
- ρ: 6.3 g/cm3
- Formation energy: -0.60 eV per atom

Geometry as CIF:
```
data_MgSc2Pt
_chemical_formula_sum 'Mg2 Sc4 Pt2'
_symmetry_space_group_name_H-M 'I m m 2'
_symmetry_Int_Tables_number 44
_cell_length_a 3.429
_cell_length_b 4.754
_cell_length_c 10.017
_cell_angle_alpha 90.00
_cell_angle_beta 90.00
_cell_angle_gamma 90.00
loop_
_symmetry_equiv_pos_as_xyz
'x,y,z'
'-x,-y,z'
'-x,y,z'
'x,-y,z'
'x+1/2,y+1/2,z+1/2'
'-x+1/2,-y+1/2,z+1/2'
'-x+1/2,y+1/2,z+1/2'
'x+1/2,-y+1/2,z+1/2'
loop_
_atom_site_label
_atom_site_type_symbol
_atom_site_fract_x
_atom_site_fract_y
_atom_site_fract_z
Mg1 Mg 0.000 0.000 0.000
Sc1 Sc 0.000 0.000 0.424
Sc2 Sc 0.000 0.500 0.213
Pt1 Pt 0.000 0.500 0.717
```